Compound: MgFeGeO4
Source: the Alexandria database
Functional: PBE with a Hubbard U
Structure: relaxed

Values from the calculation:
Its symmetry is No. 74. The raw total energy is -90.74 eV for the cell shown. As for the crystal system: orthorhombic.

abc: 5.9700 5.9700 5.9700
angles: 120.70 119.36 89.96
Fractional coordinates of all 14 atoms:
Mg 0.0000 0.0000 0.0000
Mg 0.5000 0.0000 0.5000
Fe 0.5000 0.0000 0.0000
Fe 0.5000 0.5000 0.5000
Ge 0.1253 0.3753 0.7500
Ge 0.8747 0.6247 0.2500
O 0.2420 0.7492 0.4928
O 0.2437 0.2508 0.9928
O 0.2474 0.2468 0.4994
O 0.2474 0.7479 0.0006
O 0.7526 0.2521 0.9994
O 0.7526 0.7532 0.5006
O 0.7563 0.7492 0.0072
O 0.7580 0.2508 0.5072